(1)
K2GeBi2 after structural relaxation, computed with GGA-PBE.

Output
formation energy from the elements: -0.16 eV per atom
symmetry: P4/mbm, No. 127

a b c (Å): 7.9452 7.9452 5.7444
angles (deg): 90.00 90.00 90.00
With the nearest neighbours (Å) after each atom.
Sites, in units of the cell vectors:
K  0.1712  0.6712  0.5000  6 Bi 3.58-3.79, 1 K 3.85
K  0.6712  0.8288  0.5000  6 Bi 3.58-3.79, 1 K 3.85
K  0.8288  0.3288  0.5000  6 Bi 3.58-3.79, 1 K 3.85
K  0.3288  0.1712  0.5000  6 Bi 3.58-3.79, 1 K 3.85
Ge  0.0000  0.0000  0.0000  4 Bi 3.08
Ge  0.5000  0.5000  0.0000  4 Bi 3.08
Bi  0.3619  0.8619  0.0000  2 Ge 3.08, 1 Bi 3.10
Bi  0.8619  0.6381  0.0000  2 Ge 3.08, 1 Bi 3.10
Bi  0.6381  0.1381  0.0000  2 Ge 3.08, 1 Bi 3.10
Bi  0.1381  0.3619  0.0000  2 Ge 3.08, 1 Bi 3.10

=====

(2)
Ba3Na5Sr after structural relaxation, computed with GGA-PBE.

Output
formation energy from the elements: 0.03 eV per atom
symmetry: P6_3/mcm, No. 193

a b c (Å): 7.9339 11.3903 11.3914
angles (deg): 120.00 90.00 90.00
With the nearest neighbours (Å) after each atom.
Sites, in units of the cell vectors:
Ba  0.7500  0.3555  0.3554  9 Na 3.81-4.18
Ba  0.7500  0.0001  0.6446  9 Na 3.81-4.18
Ba  0.7500  0.6444  0.0000  9 Na 3.81-4.18
Ba  0.2500  0.6445  0.6446  9 Na 3.81-4.18
Ba  0.2500  0.9999  0.3554  9 Na 3.81-4.18
Ba  0.2500  0.3556  0.0000  9 Na 3.81-4.18
Na  0.0000  0.6667  0.3333  8 Na 3.97-4.41, 6 Ba 4.18
Na  0.5000  0.3333  0.6667  8 Na 3.97-4.41, 6 Ba 4.18
Na  0.0000  0.3333  0.6667  8 Na 3.97-4.41, 6 Ba 4.18
Na  0.5000  0.6667  0.3333  8 Na 3.97-4.41, 6 Ba 4.18
Na  0.7500  0.6897  0.6897  5 Ba 3.81-4.00, 2 Sr 4.05
Na  0.7500  0.0000  0.3103  5 Ba 3.81-4.00, 2 Sr 4.05
Na  0.7500  0.3102  0.0000  5 Ba 3.81-4.00, 2 Sr 4.05
Na  0.2500  0.3103  0.3103  5 Ba 3.81-4.00, 2 Sr 4.05
Na  0.2500  0.0000  0.6897  5 Ba 3.81-4.00, 2 Sr 4.05
Na  0.2500  0.6898  0.0000  5 Ba 3.81-4.00, 2 Sr 4.05
Sr  0.0000  0.0000  0.0000  2 Sr 3.97, 6 Na 4.05
Sr  0.5000  0.0000  0.0000  2 Sr 3.97, 6 Na 4.05

=====

(3)
Ce2Ni4As3Rh after structural relaxation, computed with GGA-PBE.

Output
formation energy from the elements: -0.74 eV per atom
symmetry: P-4m2, No. 115

a b c (Å): 3.9909 3.9909 10.2175
angles (deg): 90.00 90.00 90.00
With the nearest neighbours (Å) after each atom.
Sites, in units of the cell vectors:
Ce  0.5000  0.0000  0.2544  8 Ni 2.99-3.28, 6 As 3.11-3.21, 2 Rh 3.21
Ce  0.0000  0.5000  0.7456  8 Ni 2.99-3.28, 6 As 3.11-3.21, 2 Rh 3.21
Ni  0.5000  0.5000  0.0000  4 As 2.37
Ni  0.0000  0.0000  0.0000  4 As 2.37
Ni  0.5000  0.0000  0.6501  3 As 2.30-2.52, 2 Rh 2.52
Ni  0.0000  0.5000  0.3499  3 As 2.30-2.52, 2 Rh 2.52
As  0.0000  0.0000  0.5000  4 Ni 2.52
As  0.5000  0.0000  0.8747  5 Ni 2.30-2.37
As  0.0000  0.5000  0.1253  5 Ni 2.30-2.37
Rh  0.5000  0.5000  0.5000  4 Ni 2.52

=====

(4)
DyVCl after structural relaxation, computed with GGA-PBE.

Output
symmetry: P1, No. 1
formation energy from raw total energies: -0.087 eV/atom

a b c (Å): 4.8269 4.6069 8.7156
angles (deg): 63.72 60.51 50.27
With the nearest neighbours (Å) after each atom.
Sites, in units of the cell vectors:
V  0.3318  0.7361  0.7837  1 V 2.24, 2 Cl 2.28-2.36
V  0.1163  0.6248  0.6525  1 V 2.24, 3 Cl 2.34-2.38
Dy  0.5850  0.0588  0.3955  3 Cl 2.78-2.96, 2 V 2.99-3.09
Dy  0.4676  0.9431  0.0232  3 Cl 2.73-2.85
Cl  0.7817  0.3026  0.5485  3 V 2.36-2.57
Cl  0.8555  0.2870  0.8961  3 V 2.28-2.36

=====

(5)
PmPaPtRh after structural relaxation, computed with GGA-PBE.

Output
formation energy from the elements: -0.71 eV per atom
energy above the most stable polymorph in this dataset: 80 kJ/mol of formula units
symmetry: F-43m, No. 216

a b c (Å): 4.9673 4.9673 4.9673
angles (deg): 60.00 60.00 60.00
With the nearest neighbours (Å) after each atom.
Sites, in units of the cell vectors:
Pa  0.2500  0.2500  0.2500  4 Rh 3.04, 4 Pt 3.04
Rh  0.5000  0.5000  0.5000  4 Pa 3.04, 4 Pm 3.04
Pt  0.0000  0.0000  0.0000  4 Pa 3.04, 4 Pm 3.04
Pm  0.7500  0.7500  0.7500  4 Rh 3.04, 4 Pt 3.04

=====

(6)
NpU2Tc after structural relaxation, computed with GGA-PBE.

Output
formation energy from the elements: 0.10 eV per atom
energy above the most stable polymorph in this dataset: 45 kJ/mol of formula units
symmetry: P4/mmm, No. 123

a b c (Å): 3.0700 4.9370 4.9370
angles (deg): 90.00 90.00 90.00
With the nearest neighbours (Å) after each atom.
Sites, in units of the cell vectors:
Np  0.5000  0.0000  0.0000  8 U 2.91, 2 Np 3.07
U  0.0000  0.0000  0.5000  4 Tc 2.91, 4 Np 2.91, 2 U 3.07
U  0.0000  0.5000  0.0000  4 Tc 2.91, 4 Np 2.91, 2 U 3.07
Tc  0.5000  0.5000  0.5000  8 U 2.91, 2 Tc 3.07

=====

Number 1: ρ 5.2 g/cm³. Number 2: ρ 2.3 g/cm³. Number 3: ρ 8.6 g/cm³. Number 4: ρ 6.5 g/cm³. Number 5: ρ 12.9 g/cm³. Number 6: ρ 18.0 g/cm³.